Record 1
# RbLiPt (PBE, optimized geometry)
data_RbLiPt
_cell_length_a 7.138
_cell_length_b 7.138
_cell_length_c 7.138
_cell_angle_alpha 90.00
_cell_angle_beta 90.00
_cell_angle_gamma 90.00
_symmetry_space_group_name_H-M 'F -4 3 m'
_symmetry_Int_Tables_number 216
_symmetry_space_group_name_Hall 'F -4 2 3'
loop_
_atom_site_label
_atom_site_type_symbol
_atom_site_fract_x
_atom_site_fract_y
_atom_site_fract_z
Rb1 Rb 0.000 0.000 0.000
Li1 Li 0.250 0.250 0.750
Pt1 Pt 0.250 0.250 0.250
# total DFT energy (no corrections) = -2.43 eV/atom
# polymorph energy (0 for the lowest one) = 411 meV/atom

Record 2
# Zr4InCoC2 (PBE, optimized geometry)
data_Zr4InCoC2
_cell_length_a 3.3245
_cell_length_b 3.3245
_cell_length_c 14.1787
_cell_angle_alpha 90.00
_cell_angle_beta 90.00
_cell_angle_gamma 120.00
_symmetry_space_group_name_H-M 'P -6 m 2'
_symmetry_Int_Tables_number 187
_symmetry_space_group_name_Hall 'P -6 2'
loop_
_atom_site_label
_atom_site_type_symbol
_atom_site_fract_x
_atom_site_fract_y
_atom_site_fract_z
Zr1 Zr 0.0000 0.0000 0.1360
Zr2 Zr 0.6667 0.3333 0.3201
In1 In 0.0000 0.0000 0.5000
Co1 Co 0.6667 0.3333 0.0000
C1 C 0.3333 0.6667 0.2338
# total DFT energy (no corrections) = -8.32 eV/atom
# polymorph energy (0 for the lowest one) = 0 meV/atom

Record 3
# TlSiTeAuSe2 (PBE, optimized geometry)
data_TlSiTeAuSe2
_cell_length_a 3.554
_cell_length_b 16.258
_cell_length_c 10.873
_cell_angle_alpha 90.00
_cell_angle_beta 90.00
_cell_angle_gamma 90.00
_symmetry_space_group_name_H-M 'C m c m'
_symmetry_Int_Tables_number 63
_symmetry_space_group_name_Hall '-C 2c 2'
loop_
_atom_site_label
_atom_site_type_symbol
_atom_site_fract_x
_atom_site_fract_y
_atom_site_fract_z
Tl1 Tl 0.000 0.220 0.250
Si1 Si 0.000 0.500 0.000
Te1 Te 0.000 0.458 0.750
Au1 Au 0.000 0.123 0.750
Se1 Se 0.000 0.112 0.522
# total DFT energy (no corrections) = -3.66 eV/atom

Record 4
# Sm4C2I3Br2 (PBE, optimized geometry)
data_Sm4C2I3Br2
_cell_length_a 19.556
_cell_length_b 3.970
_cell_length_c 8.600
_cell_angle_alpha 90.00
_cell_angle_beta 103.89
_cell_angle_gamma 90.00
_symmetry_space_group_name_H-M 'C 1 2/m 1'
_symmetry_Int_Tables_number 12
loop_
_symmetry_equiv_pos_as_xyz
'x,y,z'
'-x,-y,-z'
'-x,y,-z'
'x,-y,z'
'x+1/2,y+1/2,z'
'-x+1/2,-y+1/2,-z'
'-x+1/2,y+1/2,-z'
'x+1/2,-y+1/2,z'
loop_
_atom_site_label
_atom_site_type_symbol
_atom_site_fract_x
_atom_site_fract_y
_atom_site_fract_z
Sm1 Sm 0.001 0.000 0.311
Sm2 Sm 0.154 0.500 0.587
C1 C 0.037 0.500 0.521
I1 I 0.000 0.500 0.000
I2 I 0.164 0.000 0.868
Br1 Br 0.168 0.000 0.339
# total DFT energy (no corrections) = -5.30 eV/atom

Record 5
# Gd2TmIn3Ni2Ag (PBE, optimized geometry)
data_Gd2TmIn3Ni2Ag
_cell_length_a 3.910
_cell_length_b 13.068
_cell_length_c 7.558
_cell_angle_alpha 90.00
_cell_angle_beta 90.00
_cell_angle_gamma 90.00
_symmetry_space_group_name_H-M 'A m m 2'
_symmetry_Int_Tables_number 38
loop_
_symmetry_equiv_pos_as_xyz
'x,y,z'
'-x,-y,z'
'-x,y,z'
'x,-y,z'
'x,y+1/2,z+1/2'
'-x,-y+1/2,z+1/2'
'-x,y+1/2,z+1/2'
'x,-y+1/2,z+1/2'
loop_
_atom_site_label
_atom_site_type_symbol
_atom_site_fract_x
_atom_site_fract_y
_atom_site_fract_z
Gd1 Gd 0.000 0.206 0.000
Tm1 Tm 0.000 0.000 0.380
In1 In 0.500 0.000 0.066
In2 In 0.500 0.135 0.656
Ni1 Ni 0.500 0.165 0.293
Ag1 Ag 0.000 0.000 0.791
# total DFT energy (no corrections) = -4.45 eV/atom

Record 6
# Sm2ScS3 (PBE, optimized geometry)
data_Sm2ScS3
_cell_length_a 3.8841
_cell_length_b 3.8841
_cell_length_c 9.6348
_cell_angle_alpha 90.00
_cell_angle_beta 90.00
_cell_angle_gamma 120.00
_symmetry_space_group_name_H-M 'P -3 m 1'
_symmetry_Int_Tables_number 164
_symmetry_space_group_name_Hall '-P 3 2"'
loop_
_atom_site_label
_atom_site_type_symbol
_atom_site_fract_x
_atom_site_fract_y
_atom_site_fract_z
Sm1 Sm 0.3333 0.6667 0.1747
Sc1 Sc 0.0000 0.0000 0.5000
S1 S 0.0000 0.0000 0.0000
S2 S 0.3333 0.6667 0.6460
# total DFT energy (no corrections) = -6.65 eV/atom

Question: Look up the total DFT energy (no corrections) of the second one.
Answer: -8.32 eV/atom

Question: Among the records above, which one has the highest total DFT energy (no corrections)?
Answer: RbLiPt

Question: What is the formula in the first record?
Answer: RbLiPt